Record 1
This record from Alexandria via LeMat-Bulk describes a relaxed Fe2CoCl6 crystal. The functional is GGA-PBE.

a = 8.223 Å, b = 8.223 Å, c = 6.477 Å
α = 98.41°, β = 98.41°, γ = 84.57°
Atoms (fractional coordinates):
Fe (0.107, 0.289, 0.317)
Fe (0.289, 0.107, 0.817)
Fe (0.711, 0.893, 0.183)
Fe (0.893, 0.711, 0.683)
Co (0.396, 0.604, 0.750)
Co (0.604, 0.396, 0.250)
Cl (0.053, 0.205, 0.620)
Cl (0.132, 0.617, 0.858)
Cl (0.205, 0.053, 0.120)
Cl (0.315, 0.465, 0.392)
Cl (0.383, 0.868, 0.642)
Cl (0.465, 0.315, 0.892)
Cl (0.535, 0.685, 0.108)
Cl (0.617, 0.132, 0.358)
Cl (0.685, 0.535, 0.608)
Cl (0.795, 0.947, 0.880)
Cl (0.868, 0.383, 0.142)
Cl (0.947, 0.795, 0.380)

energy above the lowest structure with this stoichiometry: 40 meV per atom
N(E_F): 11.7 states/eV/f.u.
space-group type: C2/c

Record 2
This record from Alexandria via LeMat-Bulk describes a relaxed MgIn5Bi2 crystal. The functional is GGA-PBE.

a = 6.967 Å, b = 13.924 Å, c = 4.654 Å
α = 90.00°, β = 90.00°, γ = 90.00°
Atoms (fractional coordinates):
Mg (0.000, 0.000, 0.000)
Mg (0.500, 0.500, 0.000)
In (0.000, 0.500, 0.000)
In (0.051, 0.247, 0.000)
In (0.203, 0.632, 0.500)
In (0.297, 0.132, 0.500)
In (0.449, 0.747, 0.000)
In (0.500, 0.000, 0.000)
In (0.551, 0.253, 0.000)
In (0.703, 0.868, 0.500)
In (0.797, 0.368, 0.500)
In (0.949, 0.753, 0.000)
Bi (0.201, 0.886, 0.500)
Bi (0.299, 0.386, 0.500)
Bi (0.701, 0.614, 0.500)
Bi (0.799, 0.114, 0.500)

ΔE_f: -0.015 eV per atom
N(E_F): 2.1 states/eV/f.u.
space-group type: Pbam